[1]
{"formula": "LaCd8", "functional": "meta-GGA SCAN", "state": "PBEsol geometry", "lattice_angstrom": [[4.599, 0.000, 0.000], [2.299, 6.641, 0.000], [2.299, 0.000, 6.641]], "species": ["Cd", "Cd", "Cd", "Cd", "Cd", "Cd", "Cd", "Cd", "La"], "fractional_positions": [[0.000, 0.657, 0.343], [0.000, 0.343, 0.657], [0.343, 0.657, 0.657], [0.323, 0.353, 0.000], [0.323, 0.000, 0.353], [0.657, 0.343, 0.343], [0.677, 0.000, 0.647], [0.677, 0.647, 0.000], [0.000, 0.000, 0.000]], "final_energy_ev_per_atom": -31.985}


[2]
{"formula": "La3Cd", "functional": "meta-GGA SCAN", "state": "PBEsol geometry", "lattice_angstrom": [[-1.540, 0.314, -3.230], [2.415, -3.717, -1.513], [-5.352, -4.346, 2.133]], "species": ["La", "La", "La", "Cd"], "fractional_positions": [[0.500, 0.500, 0.774], [0.000, 0.000, 0.500], [0.500, 0.500, 0.226], [0.000, 0.000, 0.000]], "final_energy_ev_per_atom": -40.114}


[3]
{"formula": "LaCd", "functional": "meta-GGA SCAN", "state": "PBEsol geometry", "lattice_angstrom": [[3.854, 0.000, 0.000], [0.000, 3.858, 0.000], [0.000, 0.000, 3.858]], "species": ["La", "Cd"], "fractional_positions": [[0.000, 0.500, 0.500], [0.500, 0.000, 0.000]], "final_energy_ev_per_atom": -37.193}


[4]
{"formula": "La2Cd", "functional": "meta-GGA SCAN", "state": "PBEsol geometry", "lattice_angstrom": [[-2.429, -3.816, 0.117], [6.743, -4.376, -2.716], [-1.290, 1.077, 8.318]], "species": ["Cd", "Cd", "Cd", "La", "La", "La", "La", "La", "La"], "fractional_positions": [[0.500, 0.000, 0.000], [0.000, 0.667, 0.333], [0.000, 0.333, 0.667], [0.000, 0.000, 0.274], [0.500, 0.000, 0.602], [0.000, 0.726, 0.726], [0.000, 0.274, 0.000], [0.500, 0.398, 0.398], [0.500, 0.602, 0.000]], "final_energy_ev_per_atom": -39.129}


[5]
{"formula": "La3Cd", "functional": "meta-GGA SCAN", "state": "PBEsol geometry", "lattice_angstrom": [[-2.219, -0.881, -2.724], [4.045, -3.284, -2.234], [-1.997, -4.572, 3.105]], "species": ["La", "La", "La", "Cd"], "fractional_positions": [[0.000, 0.500, 0.340], [0.500, 0.000, 0.462], [0.500, 0.500, 0.890], [0.000, 0.000, 0.975]], "final_energy_ev_per_atom": -40.109}


[6]
{"formula": "La3Cd", "functional": "meta-GGA SCAN", "state": "PBEsol geometry", "lattice_angstrom": [[-4.186, 1.751, -3.130], [-3.121, -6.369, 0.611], [-1.404, 5.121, 4.742]], "species": ["Cd", "Cd", "La", "La", "La", "La", "La", "La"], "fractional_positions": [[0.750, 0.667, 0.333], [0.250, 0.333, 0.667], [0.750, 0.178, 0.355], [0.250, 0.822, 0.645], [0.750, 0.178, 0.822], [0.250, 0.822, 0.178], [0.750, 0.645, 0.822], [0.250, 0.355, 0.178]], "final_energy_ev_per_atom": -40.137}


[7]
{"formula": "La2Cd", "functional": "meta-GGA SCAN", "state": "PBEsol geometry", "lattice_angstrom": [[-2.273, -4.913, 8.648], [7.162, -5.452, 4.803], [3.806, 3.277, 8.881]], "species": ["Cd", "Cd", "Cd", "Cd", "Cd", "Cd", "Cd", "Cd", "La", "La", "La", "La", "La", "La", "La", "La", "La", "La", "La", "La", "La", "La", "La", "La"], "fractional_positions": [[0.262, 0.913, 0.913], [0.913, 0.913, 0.913], [0.913, 0.262, 0.913], [0.913, 0.913, 0.262], [0.988, 0.337, 0.337], [0.337, 0.337, 0.337], [0.337, 0.988, 0.337], [0.337, 0.337, 0.988], [0.125, 0.125, 0.625], [0.125, 0.625, 0.125], [0.125, 0.125, 0.125], [0.625, 0.125, 0.125], [0.313, 0.687, 0.687], [0.313, 0.313, 0.687], [0.313, 0.687, 0.313], [0.687, 0.313, 0.687], [0.687, 0.687, 0.313], [0.687, 0.313, 0.313], [0.937, 0.563, 0.563], [0.937, 0.937, 0.563], [0.937, 0.563, 0.937], [0.563, 0.937, 0.563], [0.563, 0.563, 0.937], [0.563, 0.937, 0.937]], "final_energy_ev_per_atom": -39.122}


[8]
{"formula": "La5Cd", "functional": "meta-GGA SCAN", "state": "PBEsol geometry", "lattice_angstrom": [[3.694, 0.000, 0.000], [0.000, 3.694, 0.000], [0.000, 0.000, 14.141]], "species": ["La", "La", "La", "La", "La", "Cd"], "fractional_positions": [[0.000, 0.000, 0.646], [0.500, 0.500, 0.822], [0.000, 0.000, 0.000], [0.500, 0.500, 0.178], [0.000, 0.000, 0.354], [0.500, 0.500, 0.500]], "final_energy_ev_per_atom": -41.124}


[9]
{"formula": "LaCd4", "functional": "meta-GGA SCAN", "state": "PBEsol geometry", "lattice_angstrom": [[-1.430, 4.073, -2.644], [-5.103, 1.806, 0.684], [0.776, 4.900, 2.271]], "species": ["La", "Cd", "Cd", "Cd", "Cd"], "fractional_positions": [[0.000, 0.000, 0.000], [0.500, 0.300, 0.700], [0.500, 0.700, 0.300], [0.800, 0.700, 0.700], [0.200, 0.300, 0.300]], "final_energy_ev_per_atom": -33.284}


[10]
{"formula": "LiLa2Cd", "functional": "meta-GGA SCAN", "state": "PBEsol geometry", "lattice_angstrom": [[3.622, 0.000, 0.000], [0.000, 3.622, 0.000], [0.000, 0.000, 8.128]], "species": ["Cd", "La", "La", "Li"], "fractional_positions": [[0.500, 0.500, 0.703], [0.000, 0.000, 0.973], [0.500, 0.500, 0.274], [0.000, 0.000, 0.549]], "final_energy_ev_per_atom": -29.897}


[11]
{"formula": "LiLa2Cd", "functional": "meta-GGA SCAN", "state": "PBEsol geometry", "lattice_angstrom": [[-2.629, -2.634, 0.029], [3.687, -3.664, 1.492], [-1.547, 4.221, 4.384]], "species": ["La", "La", "Li", "Cd"], "fractional_positions": [[0.990, 0.990, 0.980], [0.757, 0.257, 0.515], [0.532, 0.532, 0.064], [0.221, 0.721, 0.441]], "final_energy_ev_per_atom": -29.939}


[12]
{"formula": "Li2LaCd", "functional": "meta-GGA SCAN", "state": "PBEsol geometry", "lattice_angstrom": [[-0.898, -1.781, -2.725], [3.237, -0.191, -0.942], [0.787, -6.579, 4.041]], "species": ["Cd", "La", "Li", "Li"], "fractional_positions": [[0.500, 0.500, 0.000], [0.500, 0.500, 0.500], [0.000, 0.000, 0.811], [0.000, 0.000, 0.189]], "final_energy_ev_per_atom": -19.669}


Question: Number 4 is which compound?
Answer: La2Cd